# Rb2ZrMoF6, optimized geometry, DFT GGA+U
# SG ... I4/mmm, No. 139
# Total energy ... -52.1 eV/cell
data_Rb2ZrMoF6
_space_group_name_H-M_alt 'P 1'
_space_group_IT_number 1
_space_group_name_Hall 'P 1'
_cell_length_a 6.372
_cell_length_b 6.372
_cell_length_c 6.372
_cell_angle_alpha 120.03
_cell_angle_beta 120.03
_cell_angle_gamma 89.96
loop_
_atom_site_label
_atom_site_type_symbol
_atom_site_fract_x
_atom_site_fract_y
_atom_site_fract_z
_atom_site_occupancy
Rb1 Rb 0.250 0.750 0.500 1
Rb2 Rb 0.750 0.250 0.500 1
Zr1 Zr 0.000 0.000 0.000 1
Mo1 Mo 0.500 0.500 0.000 1
F1 F 0.230 0.230 0.000 1
F2 F 0.241 0.241 0.482 1
F3 F 0.241 0.759 0.000 1
F4 F 0.759 0.241 0.000 1
F5 F 0.759 0.759 0.518 1
F6 F 0.770 0.770 0.000 1